No. 1
3
Lattice="3.5988 0.0000 0.0000 0.0000 3.5988 0.0000 -1.7994 -1.7994 7.6335" Properties=species:S:1:pos:R:3 comment="EuTm2, optimized geometry, DFT PBE" total_magnetization_mub_per_atom=2.367 e_form_ev_per_atom=0.08 pbc="T T T"
Eu 0.0000 0.0000 0.0000
Tm 1.7994 1.7994 2.6786
Tm 0.0000 0.0000 4.9549

---

No. 2
12
Lattice="-0.8457 2.9268 -1.7745 -5.2347 0.6373 3.5460 5.3080 9.9947 13.9559" Properties=species:S:1:pos:R:3 comment="La2Pm3Tm7, optimized geometry, DFT PBE" total_magnetization_mub_per_atom=0.000 e_form_ev_per_atom=0.10 pbc="T T T"
Tm 0.9422 6.6093 6.9499
Tm -2.0919 1.9725 4.2505
Tm 0.0000 0.0000 0.0000
La -1.9473 5.1122 5.8577
Pm -1.1372 7.1434 12.3245
Pm -3.0402 1.7821 0.8858
La 1.1750 8.4467 9.8697
Tm -1.7146 6.9496 8.7775
Pm 1.2106 3.4887 5.1774
Tm -0.8880 10.4229 14.1125
Tm 2.1653 8.6595 13.2513
Tm 0.1156 3.1360 1.6149

---

No. 3
12
Lattice="6.1036 0.0000 -1.1471 -0.2156 6.0998 -1.1471 -0.0750 -0.0777 16.4134" Properties=species:S:1:pos:R:3 comment="Cs3Ca2I7, optimized geometry, DFT PBE" total_magnetization_mub_per_atom=0.000 formation_energy_uncorrected_ev_per_atom=-1.590 pbc="T T T"
Ca 5.2387 5.4272 11.0633
Ca 0.5743 0.5950 3.0560
Cs 3.9808 4.1239 4.3695
I 1.1324 1.1731 6.0253
Cs 2.9440 3.0499 -1.1471
I 4.6807 4.8491 8.0939
I 0.4381 3.6155 2.3313
I 3.5977 0.5656 2.3313
I 5.3749 2.4067 11.7879
I 2.2153 5.4566 11.7879
I 0.0000 0.0000 0.0000
Cs 1.8323 1.8982 9.7498

---

No. 4
10
Lattice="3.7010 0.0000 0.0000 -1.8505 5.4416 0.0000 0.0000 0.0000 6.7549" Properties=species:S:1:pos:R:3 comment="CaCo2AsN, optimized geometry, DFT PBE" total_magnetization_mub_per_atom=0.087 formation_energy_uncorrected_ev_per_atom=-0.580 pbc="T T T"
N 0.0000 0.0000 3.3775
Co 1.8505 3.7253 3.0184
As 0.0000 2.9222 1.6887
Co 1.8505 3.7253 0.3591
Ca 1.8505 0.4611 1.6887
N 0.0000 0.0000 0.0000
Co 0.0000 1.7163 6.3958
Co 0.0000 1.7163 3.7365
As 1.8505 2.5193 5.0662
Ca 0.0000 4.9804 5.0662